*w*
DFT (PBE) results for a relaxed structure of LiScCl2.

The structure in POSCAR format:
```
LiScCl2
1.0
3.565 0.000 0.000
0.000 3.264 0.000
-1.718 0.000 7.314
Li Sc Cl
1 1 2
direct
0.000 0.000 0.000
0.500 0.000 0.500
0.374 0.500 0.211
0.626 0.500 0.789
```



*x*
DFT (PBE) results for a relaxed structure of LiScCl2.

The structure in POSCAR format:
```
LiScCl2
1.0
3.309 0.000 0.000
0.000 6.392 0.000
0.000 0.000 7.768
Li Sc Cl
2 2 4
direct
0.000 0.000 0.000
0.500 0.500 0.000
0.000 0.000 0.500
0.500 0.500 0.500
0.000 0.500 0.222
0.000 0.500 0.778
0.500 0.000 0.222
0.500 0.000 0.778
```



*y*
DFT (PBE) results for a relaxed structure of LiScCl2.

The structure in POSCAR format:
```
LiScCl2
1.0
5.968 0.000 0.000
0.000 5.968 0.000
0.000 0.000 10.534
Li Sc Cl
4 4 8
direct
0.000 0.000 0.000
0.000 0.500 0.250
0.500 0.000 0.750
0.500 0.500 0.500
0.000 0.000 0.500
0.000 0.500 0.750
0.500 0.000 0.250
0.500 0.500 0.000
0.209 0.250 0.125
0.250 0.709 0.375
0.250 0.791 0.875
0.291 0.250 0.625
0.709 0.750 0.625
0.750 0.209 0.875
0.750 0.291 0.375
0.791 0.750 0.125
```



The computed energies, referenced to the most stable structure and given in kJ/mol of atoms, are *w* 2.2; *x* 0.0; *y* 10.5.